DFT (PBE) results for CaTbHgPd after structural relaxation.

Cell lengths 5.136, 5.136, 5.136 Å; angles 60.00, 60.00, 60.00 degrees
Sites, in units of the cell vectors:
Ca 0.750 0.750 0.750
Tb 0.250 0.250 0.250
Hg 0.500 0.500 0.500
Pd 0.000 0.000 0.000

Calculated values
Crystal system: cubic
ρ (g cm⁻³): 8.8
Density of states at the Fermi level (states/eV per cell): 3.58
Formation energy (eV/atom): -0.61